Computed, not measured: a geometry-optimized InCuAgC2 structure at the PBE level of DFT.

Cell: 3.8095 3.8095 5.6125 Å, 90.00 90.00 90.00°
Positions (direct):
In  0.0000  0.0000  0.0000
Cu  0.0000  0.0000  0.5000
Ag  0.5000  0.5000  0.0000
C  0.0000  0.5000  0.5000
C  0.5000  0.0000  0.5000

Properties
For the density of states at the Fermi level, the calculation gives 3.02 states/eV per cell. The magnetization comes out at 0.000 μB/f.u. The space group is P4/mmm, No. 123. For the formation energy, the calculation gives 1874 meV/atom.


Computed, not measured: a geometry-optimized LiAl2CuSe4 structure at the PBE level of DFT.

Cell: 5.5623 5.5623 11.7514 Å, 90.00 90.00 90.00°
Positions (direct):
Li  0.0000  0.0000  0.0000
Li  0.5000  0.5000  0.5000
Al  0.0000  0.5000  0.2500
Al  0.0000  0.5000  0.7500
Al  0.5000  0.0000  0.2500
Al  0.5000  0.0000  0.7500
Cu  0.0000  0.0000  0.5000
Cu  0.5000  0.5000  0.0000
Se  0.2455  0.2455  0.3722
Se  0.2455  0.7545  0.6278
Se  0.2545  0.2545  0.8722
Se  0.2545  0.7455  0.1278
Se  0.7455  0.2545  0.1278
Se  0.7455  0.7455  0.8722
Se  0.7545  0.2455  0.6278
Se  0.7545  0.7545  0.3722

Properties
The magnetization comes out at 0.000 μB/f.u. The space group is I-42m, No. 121. The total energy comes out at -4.271 eV/atom.